No. 1
## ZnMo3C2 (PBE)

Data for ZnMo3C2 after structural relaxation.

Cell and atoms, written as CIF:
```
data_ZnMo3C2
_cell_length_a 3.0522
_cell_length_b 3.0522
_cell_length_c 18.6522
_cell_angle_alpha 90.00
_cell_angle_beta 90.00
_cell_angle_gamma 120.00
_symmetry_space_group_name_H-M 'P 63/m m c'
_symmetry_Int_Tables_number 194
_symmetry_space_group_name_Hall '-P 6c 2c'
loop_
_atom_site_label
_atom_site_type_symbol
_atom_site_fract_x
_atom_site_fract_y
_atom_site_fract_z
_atom_site_occupancy
Zn1 Zn 0.0000 0.0000 0.2500 1
Mo1 Mo 0.0000 0.0000 0.0000 1
Mo2 Mo 0.3333 0.6667 0.1308 1
C1 C 0.3333 0.6667 0.5707 1
```

Output
total magnetic moment: 0.0 Bohr magnetons per cell
raw total energy: -8.663 eV/atom

---

No. 2
## Zr2Zn3Mo4C3 (PBE)

Data for Zr2Zn3Mo4C3 after structural relaxation.

Cell and atoms, written as CIF:
```
data_Zr2Zn3Mo4C3
_cell_length_a 9.331
_cell_length_b 5.396
_cell_length_c 13.923
_cell_angle_alpha 90.00
_cell_angle_beta 103.47
_cell_angle_gamma 90.00
_symmetry_space_group_name_H-M 'C 1 2/c 1'
_symmetry_Int_Tables_number 15
_symmetry_space_group_name_Hall '-C 2yc'
loop_
_atom_site_label
_atom_site_type_symbol
_atom_site_fract_x
_atom_site_fract_y
_atom_site_fract_z
_atom_site_occupancy
Zr1 Zr 0.043 0.082 0.389 1
Zn1 Zn 0.000 0.429 0.750 1
Zn2 Zn 0.243 0.156 0.751 1
Mo1 Mo 0.111 0.410 0.579 1
Mo2 Mo 0.226 0.420 0.921 1
C1 C 0.083 0.248 0.000 1
C2 C 0.250 0.250 0.500 1
```

Output
total magnetic moment: 0.0 Bohr magnetons per cell
raw total energy: -7.980 eV/atom

---

No. 3
## NbC2N2 (PBE)

Data for NbC2N2 after structural relaxation.

Cell and atoms, written as CIF:
```
data_NbC2N2
_cell_length_a 2.742
_cell_length_b 2.742
_cell_length_c 6.783
_cell_angle_alpha 90.00
_cell_angle_beta 90.00
_cell_angle_gamma 90.00
_symmetry_space_group_name_H-M 'P 4/m m m'
_symmetry_Int_Tables_number 123
_symmetry_space_group_name_Hall '-P 4 2'
loop_
_atom_site_label
_atom_site_type_symbol
_atom_site_fract_x
_atom_site_fract_y
_atom_site_fract_z
_atom_site_occupancy
Nb1 Nb 0.000 0.000 0.000 1
C1 C 0.000 0.500 0.500 1
N1 N 0.500 0.500 0.131 1
```

Output
total magnetic moment: 0.0 Bohr magnetons per cell
raw total energy: -7.317 eV/atom

---

No. 4
## Nb3CN (PBE)

Data for Nb3CN after structural relaxation.

Cell and atoms, written as CIF:
```
data_Nb3CN
_cell_length_a 3.034
_cell_length_b 10.386
_cell_length_c 8.047
_cell_angle_alpha 90.00
_cell_angle_beta 90.00
_cell_angle_gamma 90.00
_symmetry_space_group_name_H-M 'C m c m'
_symmetry_Int_Tables_number 63
_symmetry_space_group_name_Hall '-C 2c 2'
loop_
_atom_site_label
_atom_site_type_symbol
_atom_site_fract_x
_atom_site_fract_y
_atom_site_fract_z
_atom_site_occupancy
Nb1 Nb 0.000 0.101 0.250 1
Nb2 Nb 0.000 0.364 0.079 1
C1 C 0.000 0.000 0.000 1
N1 N 0.000 0.244 0.750 1
```

Output
total magnetic moment: 0.0 Bohr magnetons per cell
raw total energy: -10.063 eV/atom

---

No. 5
## Nb3NiCN (PBE)

Data for Nb3NiCN after structural relaxation.

Cell and atoms, written as CIF:
```
data_Nb3NiCN
_cell_length_a 3.1412
_cell_length_b 3.1412
_cell_length_c 17.9801
_cell_angle_alpha 90.00
_cell_angle_beta 90.00
_cell_angle_gamma 120.00
_symmetry_space_group_name_H-M 'P -3 m 1'
_symmetry_Int_Tables_number 164
_symmetry_space_group_name_Hall '-P 3 2"'
loop_
_atom_site_label
_atom_site_type_symbol
_atom_site_fract_x
_atom_site_fract_y
_atom_site_fract_z
_atom_site_occupancy
Nb1 Nb 0.0000 0.0000 0.0000 1
Nb2 Nb 0.0000 0.0000 0.5000 1
Nb3 Nb 0.3333 0.6667 0.1401 1
Nb4 Nb 0.3333 0.6667 0.3595 1
Ni1 Ni 0.0000 0.0000 0.2500 1
C1 C 0.3333 0.6667 0.5752 1
N1 N 0.3333 0.6667 0.9271 1
```

Output
total magnetic moment: 0.0 Bohr magnetons per cell
raw total energy: -9.345 eV/atom

---

No. 6
## TmNbCN2O2 (PBE)

Data for TmNbCN2O2 after structural relaxation.

Cell and atoms, written as CIF:
```
data_TmNbCN2O2
_cell_length_a 3.5538
_cell_length_b 3.5538
_cell_length_c 8.0337
_cell_angle_alpha 90.00
_cell_angle_beta 90.00
_cell_angle_gamma 120.00
_symmetry_space_group_name_H-M 'P 3 m 1'
_symmetry_Int_Tables_number 156
_symmetry_space_group_name_Hall 'P 3 -2"'
loop_
_atom_site_label
_atom_site_type_symbol
_atom_site_fract_x
_atom_site_fract_y
_atom_site_fract_z
_atom_site_occupancy
Tm1 Tm 0.0000 0.0000 0.0000 1
Nb1 Nb 0.3333 0.6667 0.3545 1
C1 C 0.6667 0.3333 0.6731 1
N1 N 0.6667 0.3333 0.5195 1
N2 N 0.6667 0.3333 0.8271 1
O1 O 0.0000 0.0000 0.2823 1
O2 O 0.3333 0.6667 0.0795 1
```

Output
total magnetic moment: 2.0 Bohr magnetons per cell
raw total energy: -8.699 eV/atom

---

No. 7
## Nb8P2C3N3 (PBE)

Data for Nb8P2C3N3 after structural relaxation.

Cell and atoms, written as CIF:
```
data_Nb8P2C3N3
_cell_length_a 3.2029
_cell_length_b 3.2029
_cell_length_c 22.2281
_cell_angle_alpha 90.00
_cell_angle_beta 90.00
_cell_angle_gamma 120.00
_symmetry_space_group_name_H-M 'P -3 m 1'
_symmetry_Int_Tables_number 164
_symmetry_space_group_name_Hall '-P 3 2"'
loop_
_atom_site_label
_atom_site_type_symbol
_atom_site_fract_x
_atom_site_fract_y
_atom_site_fract_z
_atom_site_occupancy
Nb1 Nb 0.0000 0.0000 0.1703 1
Nb2 Nb 0.0000 0.0000 0.3284 1
Nb3 Nb 0.3333 0.6667 0.0601 1
Nb4 Nb 0.3333 0.6667 0.4450 1
P1 P 0.3333 0.6667 0.2517 1
C1 C 0.0000 0.0000 0.0000 1
C2 C 0.3333 0.6667 0.8836 1
N1 N 0.0000 0.0000 0.5000 1
N2 N 0.3333 0.6667 0.6124 1
```

Output
total magnetic moment: 0.0 Bohr magnetons per cell
raw total energy: -9.739 eV/atom

---

No. 8
## Nb8Pb2C3N3 (PBE)

Data for Nb8Pb2C3N3 after structural relaxation.

Cell and atoms, written as CIF:
```
data_Nb8Pb2C3N3
_cell_length_a 3.2347
_cell_length_b 3.2347
_cell_length_c 24.5704
_cell_angle_alpha 90.00
_cell_angle_beta 90.00
_cell_angle_gamma 120.00
_symmetry_space_group_name_H-M 'P -3 m 1'
_symmetry_Int_Tables_number 164
_symmetry_space_group_name_Hall '-P 3 2"'
loop_
_atom_site_label
_atom_site_type_symbol
_atom_site_fract_x
_atom_site_fract_y
_atom_site_fract_z
_atom_site_occupancy
Nb1 Nb 0.0000 0.0000 0.1450 1
Nb2 Nb 0.0000 0.0000 0.3478 1
Nb3 Nb 0.3333 0.6667 0.5540 1
Nb4 Nb 0.3333 0.6667 0.9454 1
Pb1 Pb 0.3333 0.6667 0.7528 1
C1 C 0.0000 0.0000 0.5000 1
C2 C 0.3333 0.6667 0.3937 1
N1 N 0.0000 0.0000 0.0000 1
N2 N 0.3333 0.6667 0.1038 1
```

Output
total magnetic moment: 0.0 Bohr magnetons per cell
raw total energy: -9.290 eV/atom

---

No. 9
## Nb4Pb2CN (PBE)

Data for Nb4Pb2CN after structural relaxation.

Cell and atoms, written as CIF:
```
data_Nb4Pb2CN
_cell_length_a 3.3167
_cell_length_b 3.3167
_cell_length_c 14.0145
_cell_angle_alpha 90.00
_cell_angle_beta 90.00
_cell_angle_gamma 120.00
_symmetry_space_group_name_H-M 'P -3 m 1'
_symmetry_Int_Tables_number 164
_symmetry_space_group_name_Hall '-P 3 2"'
loop_
_atom_site_label
_atom_site_type_symbol
_atom_site_fract_x
_atom_site_fract_y
_atom_site_fract_z
_atom_site_occupancy
Nb1 Nb 0.3333 0.6667 0.0800 1
Nb2 Nb 0.3333 0.6667 0.4236 1
Pb1 Pb 0.3333 0.6667 0.7481 1
C1 C 0.0000 0.0000 0.0000 1
N1 N 0.0000 0.0000 0.5000 1
```

Output
total magnetic moment: 0.0 Bohr magnetons per cell
raw total energy: -8.481 eV/atom

---

No. 10
## Nb4CS2N (PBE)

Data for Nb4CS2N after structural relaxation.

Cell and atoms, written as CIF:
```
data_Nb4CS2N
_cell_length_a 3.3210
_cell_length_b 3.3210
_cell_length_c 11.6187
_cell_angle_alpha 90.00
_cell_angle_beta 90.00
_cell_angle_gamma 120.00
_symmetry_space_group_name_H-M 'P -3 m 1'
_symmetry_Int_Tables_number 164
_symmetry_space_group_name_Hall '-P 3 2"'
loop_
_atom_site_label
_atom_site_type_symbol
_atom_site_fract_x
_atom_site_fract_y
_atom_site_fract_z
_atom_site_occupancy
Nb1 Nb 0.3333 0.6667 0.0955 1
Nb2 Nb 0.3333 0.6667 0.4079 1
C1 C 0.0000 0.0000 0.0000 1
S1 S 0.3333 0.6667 0.7478 1
N1 N 0.0000 0.0000 0.5000 1
```

Output
total magnetic moment: 0.0 Bohr magnetons per cell
raw total energy: -9.068 eV/atom

---

Repeat the eighth record exactly.
## Nb8Pb2C3N3 (PBE)

Data for Nb8Pb2C3N3 after structural relaxation.

Cell and atoms, written as CIF:
```
data_Nb8Pb2C3N3
_cell_length_a 3.2347
_cell_length_b 3.2347
_cell_length_c 24.5704
_cell_angle_alpha 90.00
_cell_angle_beta 90.00
_cell_angle_gamma 120.00
_symmetry_space_group_name_H-M 'P -3 m 1'
_symmetry_Int_Tables_number 164
_symmetry_space_group_name_Hall '-P 3 2"'
loop_
_atom_site_label
_atom_site_type_symbol
_atom_site_fract_x
_atom_site_fract_y
_atom_site_fract_z
_atom_site_occupancy
Nb1 Nb 0.0000 0.0000 0.1450 1
Nb2 Nb 0.0000 0.0000 0.3478 1
Nb3 Nb 0.3333 0.6667 0.5540 1
Nb4 Nb 0.3333 0.6667 0.9454 1
Pb1 Pb 0.3333 0.6667 0.7528 1
C1 C 0.0000 0.0000 0.5000 1
C2 C 0.3333 0.6667 0.3937 1
N1 N 0.0000 0.0000 0.0000 1
N2 N 0.3333 0.6667 0.1038 1
```

Output
total magnetic moment: 0.0 Bohr magnetons per cell
raw total energy: -9.290 eV/atom